Density functional theory data (PBE-GGA) for an optimized crystal structure of PrMgAl2.

The structure in CIF format:
```
data_PrMgAl2
_chemical_formula_sum 'Pr4 Mg4 Al8'
_symmetry_space_group_name_H-M 'F m -3 m'
_symmetry_Int_Tables_number 225
_symmetry_space_group_name_Hall '-F 4 2 3'
_cell_length_a 7.136
_cell_length_b 7.136
_cell_length_c 7.136
_cell_angle_alpha 90.00
_cell_angle_beta 90.00
_cell_angle_gamma 90.00
loop_
_atom_site_label
_atom_site_fract_x
_atom_site_fract_y
_atom_site_fract_z
Pr1 0.000 0.000 0.000
Mg1 0.000 0.000 0.500
Al1 0.250 0.250 0.250
```

Calculated values
Formation energy from the elements = -0.182 eV per atom
DOS(E_F) = 1.66 states/eV/f.u.
Polymorph energy (0 for the lowest one) = 0.101 eV/atom
Electronic total energy = -3.6467 eV/atom
Crystal system = cubic